Record 1
Here is a relaxed SrHfO3 crystal from the Alexandria database. Energies are from PBE.

- ΔE_f (raw) (kJ per mole of atoms) = -247
- uncorrected energy (eV per atom) = -7.865
- crystal system = tetragonal
- magnetic moment (μB per formula unit) = 0.00

abc: 3.5858 3.5858 6.1745
angles: 90.00 90.00 90.00
Space group P4mm (No. 99)
Inequivalent atoms, fractional coordinates:
Sr 0.0000 0.0000 0.0000 (multiplicity 1)
Hf 0.5000 0.5000 0.4116 (multiplicity 1)
O 0.0000 0.0000 0.6148 (multiplicity 1)
O 0.0000 0.5000 0.2486 (multiplicity 2)

=====

Record 2
Here is a relaxed SrHfO3 crystal from the Alexandria database. Energies are from PBE.

- ΔE_f (raw) (kJ per mole of atoms) = -301
- uncorrected energy (eV per atom) = -8.421
- crystal system = monoclinic
- magnetic moment (μB per formula unit) = 0.00
- DOS at the Fermi energy (states/eV/cell) = 0.0

abc: 13.5391 3.3344 7.2555
angles: 90.00 102.58 90.00
Space group C2/m (No. 12)
Inequivalent atoms, fractional coordinates:
Sr 0.1284 0.0000 0.3695 (multiplicity 4)
Hf 0.1503 0.5000 0.8489 (multiplicity 4)
O 0.0541 0.0000 0.7639 (multiplicity 4)
O 0.1822 0.5000 0.5978 (multiplicity 4)
O 0.1894 0.0000 0.0606 (multiplicity 4)

=====

Record 3
Here is a relaxed Sr2HfO4 crystal from the Alexandria database. Energies are from PBE.

- ΔE_f (raw) (kJ per mole of atoms) = -305
- uncorrected energy (eV per atom) = -7.896
- crystal system = orthorhombic
- magnetic moment (μB per formula unit) = 0.00
- DOS at the Fermi energy (states/eV/cell) = 0.0

abc: 6.0843 10.3361 3.3730
angles: 90.00 90.00 90.00
Space group Pbam (No. 55)
Inequivalent atoms, fractional coordinates:
Sr 0.0667 0.1795 0.0000 (multiplicity 4)
Hf 0.0000 0.5000 0.5000 (multiplicity 2)
O 0.1309 0.6845 0.5000 (multiplicity 4)
O 0.2124 0.4544 0.0000 (multiplicity 4)

=====

Record 4
Here is a relaxed SrHfO crystal from the Alexandria database. Energies are from PBE.

- ΔE_f (raw) (kJ per mole of atoms) = -110
- uncorrected energy (eV per atom) = -6.668
- crystal system = hexagonal
- magnetic moment (μB per formula unit) = 0.00
- DOS at the Fermi energy (states/eV/cell) = 2.6

abc: 3.4290 3.4290 11.8744
angles: 90.00 90.00 120.00
Space group P-6m2 (No. 187)
Inequivalent atoms, fractional coordinates:
Sr 0.0000 0.0000 0.1347 (multiplicity 2)
Hf 0.3333 0.6667 0.3858 (multiplicity 2)
O 0.0000 0.0000 0.5000 (multiplicity 1)
O 0.3333 0.6667 0.0000 (multiplicity 1)

=====

Record 5
Here is a relaxed SrHfO3 crystal from the Alexandria database. Energies are from PBE.

- ΔE_f (raw) (kJ per mole of atoms) = -293
- uncorrected energy (eV per atom) = -8.336
- crystal system = orthorhombic
- magnetic moment (μB per formula unit) = 0.00
- DOS at the Fermi energy (states/eV/cell) = 0.0

abc: 3.2225 6.7634 10.3674
angles: 90.00 90.00 90.00
Space group Amm2 (No. 38)
Inequivalent atoms, fractional coordinates:
Sr 0.0000 0.0000 0.0000 (multiplicity 2)
Hf 0.5000 0.0000 0.3456 (multiplicity 2)
O 0.0000 0.1915 0.3876 (multiplicity 4)
O 0.5000 0.0000 0.1613 (multiplicity 2)

=====

Record 6
Here is a relaxed SrHfO3 crystal from the Alexandria database. Energies are from PBE.

- ΔE_f (raw) (kJ per mole of atoms) = -317
- uncorrected energy (eV per atom) = -8.585
- crystal system = monoclinic
- magnetic moment (μB per formula unit) = 0.00
- DOS at the Fermi energy (states/eV/cell) = 0.0

abc: 7.4927 5.5559 7.5254
angles: 90.00 112.73 90.00
Space group P2_1/c (No. 14)
Inequivalent atoms, fractional coordinates:
Sr 0.1246 0.2471 0.1377 (multiplicity 4)
Hf 0.4042 0.7395 0.3821 (multiplicity 4)
O 0.1267 0.6789 0.7200 (multiplicity 4)
O 0.3209 0.0790 0.9604 (multiplicity 4)
O 0.4394 0.5677 0.1398 (multiplicity 4)